Record 1
Crystalline NdTh2Ag6 at its relaxed geometry. Source: the Alexandria database, functional PBE-GGA.

Calculated values
**Total magnetic moment**: 0.00 μB/f.u.
**Formation energy**: -180 meV per atom
**Calculated volume**: 23.47 A^3/atom

a = 3.4132 Å, b = 8.4531 Å, c = 8.4531 Å
α = 120.00°, β = 90.00°, γ = 90.00°
Closest atoms and distances in Å follow each position.
Sites, in units of the cell vectors:
Ag (0.5000, 0.0000, 0.3331)  3 Ag 2.82
Ag (0.5000, 0.3331, 0.0000)  3 Ag 2.82
Ag (0.5000, 0.0000, 0.6669)  3 Ag 2.82
Ag (0.5000, 0.6669, 0.0000)  3 Ag 2.82
Ag (0.5000, 0.6669, 0.6669)  3 Ag 2.82
Ag (0.5000, 0.3331, 0.3331)  3 Ag 2.82
Th (0.0000, 0.6667, 0.3333)  12 Ag 3.29, 2 Th 3.41
Th (0.0000, 0.3333, 0.6667)  12 Ag 3.29, 2 Th 3.41
Nd (0.0000, 0.0000, 0.0000)  12 Ag 3.29, 2 Nd 3.41

***

Record 2
Crystalline NdThZnAg at its relaxed geometry. Source: the Alexandria database, functional PBE-GGA.

Calculated values
**Total magnetic moment**: 0.00 μB/f.u.
**Formation energy**: -154 meV per atom
**Calculated volume**: 25.67 A^3/atom

a = 5.2562 Å, b = 5.2562 Å, c = 5.2562 Å
α = 60.00°, β = 60.00°, γ = 60.00°
Closest atoms and distances in Å follow each position.
Sites, in units of the cell vectors:
Ag (0.2500, 0.2500, 0.2500)  4 Th 3.22, 4 Nd 3.22
Th (0.0000, 0.0000, 0.0000)  4 Zn 3.22, 4 Ag 3.22
Zn (0.7500, 0.7500, 0.7500)  4 Th 3.22, 4 Nd 3.22
Nd (0.5000, 0.5000, 0.5000)  4 Ag 3.22, 4 Zn 3.22

***

Record 3
Crystalline Nd2TiAg at its relaxed geometry. Source: the Alexandria database, functional PBE-GGA.

Calculated values
**Total magnetic moment**: 0.00 μB/f.u.
**Energy above the most stable polymorph in this dataset**: 0 meV per atom
**Formation energy**: 50 meV per atom
**Calculated volume**: 26.19 A^3/atom

a = 3.5460 Å, b = 3.5460 Å, c = 8.3308 Å
α = 90.00°, β = 90.00°, γ = 90.00°
Closest atoms and distances in Å follow each position.
Sites, in units of the cell vectors:
Nd (0.0000, 0.0000, 0.7501)  4 Ag 3.26, 4 Ti 3.26, 4 Nd 3.55
Nd (0.0000, 0.0000, 0.2499)  4 Ag 3.26, 4 Ti 3.26, 4 Nd 3.55
Ag (0.5000, 0.5000, 0.0000)  8 Nd 3.26, 4 Ag 3.55
Ti (0.5000, 0.5000, 0.5000)  8 Nd 3.26, 4 Ti 3.55

***

Record 4
Crystalline Nd3Tl2Ag at its relaxed geometry. Source: the Alexandria database, functional PBE-GGA.

Calculated values
**Total magnetic moment**: 0.00 μB/f.u.
**Energy above the most stable polymorph in this dataset**: 61 meV per atom
**Formation energy**: -272 meV per atom
**Calculated volume**: 28.64 A^3/atom

a = 6.6130 Å, b = 6.6230 Å, c = 8.7190 Å
α = 102.39°, β = 112.29°, γ = 90.00°
Closest atoms and distances in Å follow each position.
Sites, in units of the cell vectors:
Nd (0.2717, 0.0902, 0.3303)  1 Ag 3.10, 4 Tl 3.22-3.43
Nd (0.0586, 0.5902, 0.3303)  1 Ag 3.10, 4 Tl 3.22-3.43
Nd (0.9414, 0.4098, 0.6697)  1 Ag 3.10, 4 Tl 3.22-3.43
Nd (0.7283, 0.9098, 0.6697)  1 Ag 3.10, 4 Tl 3.22-3.43
Nd (0.6420, 0.2500, 0.0000)  4 Tl 3.24-3.36, 4 Ag 3.30-3.61, 2 Nd 3.49
Nd (0.3580, 0.7500, 0.0000)  4 Tl 3.24-3.36, 4 Ag 3.30-3.61, 2 Nd 3.49
Tl (0.7789, 0.0463, 0.3272)  7 Nd 3.22-3.54, 1 Ag 3.32, 1 Tl 3.48
Tl (0.4516, 0.4537, 0.6728)  7 Nd 3.22-3.54, 1 Ag 3.32, 1 Tl 3.48
Tl (0.2211, 0.9537, 0.6728)  7 Nd 3.22-3.54, 1 Ag 3.32, 1 Tl 3.48
Tl (0.5484, 0.5463, 0.3272)  7 Nd 3.22-3.54, 1 Ag 3.32, 1 Tl 3.48
Ag (0.8588, 0.7500, 0.0000)  4 Nd 3.10-3.31, 2 Tl 3.32
Ag (0.1412, 0.2500, 0.0000)  4 Nd 3.10-3.31, 2 Tl 3.32